1.
Material: SrPb2WO6
Method: DFT, PBE with a Hubbard U
State: relaxed

The structure belongs to space group P2_1/c (No. 14); the cell edges are 5.7715, 6.3719 and 10.2728 Å and the angles 90.00°, 123.27° and 90.00°. The asymmetric unit holds Sr at (0.0000, 0.0000, 0.0000), Pb at (0.2233, 0.0458, 0.7285), W at (0.5000, 0.0000, 0.5000), O at (0.1835, 0.1606, 0.4740), O at (0.2682, 0.7484, 0.4337) and O at (0.3759, 0.0581, 0.2819).

Its spin magnetization is 0.0 μB per formula unit. The calculation puts the total energy at -6.5150 eV/atom.

2.
Material: SrPbW2O
Method: DFT, PBE with a Hubbard U
State: relaxed

The structure belongs to space group P4/mmm (No. 123); the cell edges are 6.0908, 6.0908 and 6.6213 Å and the angles 90.00°, 90.00° and 90.00°. The asymmetric unit holds Sr at (0.0000, 0.0000, 0.0000), Pb at (0.0000, 0.0000, 0.5000), W at (0.0000, 0.5000, 0.0000) and O at (0.5000, 0.5000, 0.5000).

Its spin magnetization is 7.4 μB per formula unit. The calculation puts the total energy at -2.3121 eV/atom.

3.
Material: SrPbWO6
Method: DFT, PBE with a Hubbard U
State: relaxed

The structure belongs to space group P-31c (No. 163); the cell edges are 5.5716, 5.5716 and 10.6064 Å and the angles 90.00°, 90.00° and 120.00°. The asymmetric unit holds Sr at (0.0000, 0.0000, 0.0000), Pb at (0.3333, 0.6667, 0.2500), W at (0.3333, 0.6667, 0.7500) and O at (0.0322, 0.3921, 0.6436).

Its spin magnetization is 0.0 μB per formula unit. The calculation puts the total energy at -6.5971 eV/atom.